No. 1
## Dy2Er8Sc3 (GGA-PBE)

Data for an optimized crystal structure of Dy2Er8Sc3.

Calculated values
Electronic total energy in eV/atom: -4.904
DOS(E_F) in states/eV per atom: 1.756

Lattice parameters (Å, degrees): 5.5707 6.1735 11.5749 78.63 79.68 88.56
Fractional coordinates of all 13 atoms:
Dy1 0.2468 0.1617 0.0067
Dy2 0.7532 0.8383 0.9933
Er1 0.1154 0.0550 0.3387
Er2 0.1869 0.6039 0.1710
Er3 0.3040 0.7146 0.8486
Er4 0.3604 0.2595 0.6978
Er5 0.6396 0.7405 0.3022
Er6 0.6960 0.2854 0.1514
Er7 0.8131 0.3961 0.8290
Er8 0.8846 0.9450 0.6613
Sc1 0.0000 0.5000 0.5000
Sc2 0.4357 0.7615 0.5614
Sc3 0.5643 0.2385 0.4386



No. 2
## GdTmLuZr (GGA-PBE)

Data for an optimized crystal structure of GdTmLuZr.

Calculated values
Electronic total energy in eV/atom: -7.718
DOS(E_F) in states/eV per atom: 2.282

Lattice parameters (Å, degrees): 5.4305 5.4305 5.4305 60.00 60.00 60.00
Fractional coordinates of all 4 atoms:
Gd1 0.0000 0.0000 0.0000
Tm1 0.2500 0.2500 0.2500
Lu1 0.7500 0.7500 0.7500
Zr1 0.5000 0.5000 0.5000



No. 3
## ReGe2OsF (GGA-PBE)

Data for an optimized crystal structure of ReGe2OsF.

Calculated values
Electronic total energy in eV/atom: -6.213
DOS(E_F) in states/eV per atom: 0.422
Formation energy (no corrections) in eV/f.u.: 3.717

Lattice parameters (Å, degrees): 4.7221 4.7221 5.0244 90.00 90.00 90.00
Fractional coordinates of all 5 atoms:
Re1 0.0000 0.0000 0.0000
Ge1 0.0000 0.5000 0.5000
Ge2 0.5000 0.0000 0.5000
Os1 0.0000 0.0000 0.5000
F1 0.5000 0.5000 0.0000



No. 4
## Sr2LiSn3Rh4 (GGA-PBE)

Data for an optimized crystal structure of Sr2LiSn3Rh4.

Calculated values
Electronic total energy in eV/atom: -5.249
DOS(E_F) in states/eV per atom: 0.360

Lattice parameters (Å, degrees): 4.4319 4.4319 11.1007 90.00 90.00 90.00
Fractional coordinates of all 10 atoms:
Sr1 0.0000 0.5000 0.2445
Sr2 0.5000 0.0000 0.7555
Li1 0.5000 0.5000 0.0000
Sn1 0.0000 0.0000 0.0000
Sn2 0.0000 0.5000 0.6281
Sn3 0.5000 0.0000 0.3719
Rh1 0.0000 0.0000 0.5000
Rh2 0.0000 0.5000 0.8666
Rh3 0.5000 0.0000 0.1334
Rh4 0.5000 0.5000 0.5000



No. 5
## Tl2Cd7Hg (GGA-PBE)

Data for an optimized crystal structure of Tl2Cd7Hg.

Calculated values
Electronic total energy in eV/atom: -1.100
DOS(E_F) in states/eV per atom: 0.343

Lattice parameters (Å, degrees): 4.4199 4.4199 13.8071 90.00 90.00 90.00
Fractional coordinates of all 10 atoms:
Tl1 0.0000 0.5000 0.2381
Tl2 0.5000 0.0000 0.7619
Cd1 0.0000 0.0000 0.0000
Cd2 0.0000 0.5000 0.6486
Cd3 0.0000 0.5000 0.8546
Cd4 0.5000 0.0000 0.1454
Cd5 0.5000 0.0000 0.3514
Cd6 0.5000 0.5000 0.0000
Cd7 0.5000 0.5000 0.5000
Hg1 0.0000 0.0000 0.5000



No. 6
## LiVHg (GGA-PBE)

Data for an optimized crystal structure of LiVHg.

Calculated values
Electronic total energy in eV/atom: -3.688
DOS(E_F) in states/eV per atom: 0.517

Lattice parameters (Å, degrees): 7.7911 7.7911 2.9521 92.04 92.04 145.89
Fractional coordinates of all 6 atoms:
Li1 0.1915 0.8085 0.0000
Li2 0.8085 0.1915 0.0000
V1 0.1990 0.1990 0.8896
V2 0.8010 0.8010 0.1104
Hg1 0.3552 0.6448 0.5000
Hg2 0.6448 0.3552 0.5000